Version P
Below is LiB6H6 after structural relaxation, with properties calculated at the PBE level.

## Properties
density of states at the Fermi level: 0.0 states/eV/cell
space group: P2_1/c, No. 14

Cell: 6.6923 9.4804 9.8463 Å, 90.00 131.42 90.00°
Last column: nearest neighbours and their distance in Å.
Fractional coordinates of all 52 atoms:
Li 0.1281 0.1771 0.2233  5 H 2.00-2.13
Li 0.1281 0.3229 0.7233  5 H 2.00-2.13
Li 0.8719 0.6771 0.2767  5 H 2.00-2.13
Li 0.8719 0.8229 0.7767  5 H 2.00-2.13
B 0.1845 0.0450 0.8985  1 H 1.20
B 0.1845 0.4550 0.3985  1 H 1.20
B 0.2566 0.5940 0.3149  1 H 1.20
B 0.2566 0.9060 0.8149  1 H 1.20
B 0.3233 0.0831 0.7986  1 H 1.21
B 0.3233 0.4169 0.2986  1 H 1.21
B 0.3317 0.6133 0.5243  1 H 1.21
B 0.3317 0.8867 0.0243  1 H 1.21
B 0.4402 0.1738 0.9984  1 H 1.21
B 0.4402 0.3262 0.4984  1 H 1.21
B 0.4431 0.0520 0.1368  1 H 1.20
B 0.4431 0.4480 0.6368  1 H 1.20
B 0.5569 0.5520 0.3632  1 H 1.20
B 0.5569 0.9480 0.8632  1 H 1.20
B 0.5598 0.6738 0.5016  1 H 1.21
B 0.5598 0.8262 0.0016  1 H 1.21
B 0.6683 0.1133 0.9757  1 H 1.21
B 0.6683 0.3867 0.4757  1 H 1.21
B 0.6767 0.5831 0.7014  1 H 1.21
B 0.6767 0.9169 0.2014  1 H 1.21
B 0.7434 0.0940 0.1851  1 H 1.20
B 0.7434 0.4060 0.6851  1 H 1.20
B 0.8155 0.5450 0.6015  1 H 1.20
B 0.8155 0.9550 0.1015  1 H 1.20
H 0.0434 0.5749 0.6784  1 B 1.20
H 0.0434 0.9251 0.1784  1 B 1.20
H 0.0802 0.6597 0.1826  1 B 1.20
H 0.0802 0.8403 0.6826  1 B 1.20
H 0.1962 0.1406 0.6535  1 B 1.21
H 0.1962 0.3594 0.1535  1 B 1.21
H 0.2130 0.6951 0.5426  1 B 1.21
H 0.2130 0.8049 0.0426  1 B 1.21
H 0.4021 0.2018 0.4989  1 B 1.21
H 0.4021 0.2982 0.9989  1 B 1.21
H 0.4141 0.0856 0.2408  1 B 1.20
H 0.4141 0.4144 0.7408  1 B 1.20
H 0.5859 0.5856 0.2592  1 B 1.20
H 0.5859 0.9144 0.7592  1 B 1.20
H 0.5979 0.7018 0.0011  1 B 1.21
H 0.5979 0.7982 0.5011  1 B 1.21
H 0.7870 0.1951 0.9574  1 B 1.21
H 0.7870 0.3049 0.4574  1 B 1.21
H 0.8038 0.6406 0.8465  1 B 1.21
H 0.8038 0.8594 0.3465  1 B 1.21
H 0.9198 0.1597 0.3174  1 B 1.20
H 0.9198 0.3403 0.8174  1 B 1.20
H 0.9566 0.0749 0.8216  1 B 1.20
H 0.9566 0.4251 0.3216  1 B 1.20

=====

Version Q
Below is LiB6H6 after structural relaxation, with properties calculated at the PBE level.

## Properties
density of states at the Fermi level: 0.0 states/eV/cell
space group: Fm-3, No. 202

Cell: 7.0220 7.0220 7.0220 Å, 60.00 60.00 60.00°
Last column: nearest neighbours and their distance in Å.
Fractional coordinates of all 26 atoms:
Li 0.2500 0.2500 0.2500  12 H 2.69
Li 0.7500 0.7500 0.7500  12 H 2.69
B 0.0568 0.2337 0.9432  1 H 1.20
B 0.0568 0.7663 0.2337  1 H 1.20
B 0.0568 0.9432 0.7663  1 H 1.20
B 0.2337 0.0568 0.7663  1 H 1.20
B 0.2337 0.7663 0.9432  1 H 1.20
B 0.2337 0.9432 0.0568  1 H 1.20
B 0.7663 0.0568 0.9432  1 H 1.20
B 0.7663 0.2337 0.0568  1 H 1.20
B 0.7663 0.9432 0.2337  1 H 1.20
B 0.9432 0.0568 0.2337  1 H 1.20
B 0.9432 0.2337 0.7663  1 H 1.20
B 0.9432 0.7663 0.0568  1 H 1.20
H 0.1045 0.3978 0.8955  1 B 1.20
H 0.1045 0.6022 0.3978  1 B 1.20
H 0.1045 0.8955 0.6022  1 B 1.20
H 0.3978 0.1045 0.6022  1 B 1.20
H 0.3978 0.6022 0.8955  1 B 1.20
H 0.3978 0.8955 0.1045  1 B 1.20
H 0.6022 0.1045 0.8955  1 B 1.20
H 0.6022 0.3978 0.1045  1 B 1.20
H 0.6022 0.8955 0.3978  1 B 1.20
H 0.8955 0.1045 0.3978  1 B 1.20
H 0.8955 0.3978 0.6022  1 B 1.20
H 0.8955 0.6022 0.1045  1 B 1.20

=====

Stability ranking, top and bottom: version P is the most stable and version Q is the least stable.